A relaxed structure of Ba3Zn, computed with PBE.

Geometry as POSCAR:
```
Ba3Zn
1.0
4.730 0.000 0.000
0.000 6.146 0.000
0.000 0.000 6.447
Ba Zn
3 1
direct
0.000 0.000 0.000
0.000 0.500 0.452
0.500 0.000 0.528
0.500 0.500 0.892
```

Computed properties:
Spin magnetization = 0.00 μB/cell
Energy of formation = 0.097 eV per atom